Material: YCrS2N
Method: DFT, PBE-GGA
State: optimized geometry

Geometry as extended XYZ:
```
5
Lattice="-1.626 0.949 -4.367 -4.394 -1.191 1.377 -0.626 3.445 0.982" Properties=species:S:1:pos:R:3 pbc="T T T"
S -2.197 -0.595 0.688
Cr 0.000 0.000 0.000
Y -3.323 1.602 -1.004
N -0.313 1.723 0.491
S -0.813 0.474 -2.184
```

Properties
E = -36.91 eV per cell
Distance to the lowest polymorph of the same formula = 0.0 meV/atom
Formation energy without anion corrections = -848 meV/atom
Space-group type = P4/mmm